[1]
Mg2BiRh3 | PBE-GGA | optimized geometry

Properties
E ... -5.280 eV/atom
Crystal system ... trigonal
E_form ... -41.05 kJ/mol of atoms

Unit cell a=4.543 b=4.543 c=5.532 alpha=90.00 beta=90.00 gamma=120.00
Positions (direct):
Mg 0.333 0.667 0.150
Mg 0.667 0.333 0.850
Bi 0.000 0.000 0.500
Rh 0.000 0.000 0.000
Rh 0.333 0.667 0.666
Rh 0.667 0.333 0.334


[2]
MgBiRh | PBE-GGA | optimized geometry

Properties
E ... -4.381 eV/atom
Crystal system ... hexagonal
E_form ... -10.19 kJ/mol of atoms

Unit cell a=4.685 b=4.685 c=3.283 alpha=90.00 beta=90.00 gamma=120.00
Positions (direct):
Mg 0.000 0.000 0.000
Bi 0.333 0.667 0.500
Rh 0.667 0.333 0.500


[3]
Mg2Bi2Rh | PBE-GGA | optimized geometry

Properties
E ... -3.149 eV/atom
Crystal system ... tetragonal
Energy above the lowest structure with this stoichiometry ... 0.721 eV per atom
E_form ... 49.40 kJ/mol of atoms

Unit cell a=8.147 b=8.147 c=8.147 alpha=149.86 beta=149.86 gamma=43.15
Positions (direct):
Mg 0.088 0.088 0.000
Mg 0.912 0.912 0.000
Bi 0.250 0.750 0.500
Bi 0.750 0.250 0.500
Rh 0.500 0.500 0.000


[4]
Mg2Bi5Rh | PBE-GGA | optimized geometry

Properties
E ... -3.866 eV/atom
Crystal system ... orthorhombic
E_form ... -11.86 kJ/mol of atoms

Unit cell a=5.235 b=5.235 c=21.882 alpha=90.00 beta=90.00 gamma=131.93
Positions (direct):
Mg 0.234 0.766 0.677
Mg 0.234 0.766 0.823
Mg 0.766 0.234 0.177
Mg 0.766 0.234 0.323
Bi 0.064 0.936 0.127
Bi 0.064 0.936 0.373
Bi 0.341 0.659 0.035
Bi 0.341 0.659 0.465
Bi 0.472 0.528 0.250
Bi 0.528 0.472 0.750
Bi 0.659 0.341 0.535
Bi 0.659 0.341 0.965
Bi 0.936 0.064 0.627
Bi 0.936 0.064 0.873
Rh 0.180 0.820 0.250
Rh 0.820 0.180 0.750


> E of number 2 (MgBiRh)?

-4.381 eV/atom